# LaTiZn2 PBE-GGA optimized geometry
# - DFT formation energy (eV per formula unit) = -0.15
data_LaTiZn2
_symmetry_space_group_name_H-M 'F m -3 m'
_symmetry_Int_Tables_number 225
_symmetry_space_group_name_Hall '-F 4 2 3'
_cell_length_a 6.9681
_cell_length_b 6.9681
_cell_length_c 6.9681
_cell_angle_alpha 90.00
_cell_angle_beta 90.00
_cell_angle_gamma 90.00
loop_
_atom_site_label
_atom_site_type_symbol
_atom_site_fract_x
_atom_site_fract_y
_atom_site_fract_z
La1 La 0.0000 0.0000 0.0000
Ti1 Ti 0.0000 0.0000 0.5000
Zn1 Zn 0.2500 0.2500 0.2500

---

# BaBe2SbMo PBE-GGA optimized geometry
# - E_form (uncorrected) (eV per atom) = 2.54
data_BaBe2SbMo
_symmetry_space_group_name_H-M 'P 4/m m m'
_symmetry_Int_Tables_number 123
_symmetry_space_group_name_Hall '-P 4 2'
_cell_length_a 4.7497
_cell_length_b 4.7497
_cell_length_c 5.9253
_cell_angle_alpha 90.00
_cell_angle_beta 90.00
_cell_angle_gamma 90.00
loop_
_atom_site_label
_atom_site_type_symbol
_atom_site_fract_x
_atom_site_fract_y
_atom_site_fract_z
Ba1 Ba 0.0000 0.0000 0.0000
Be1 Be 0.0000 0.5000 0.0000
Sb1 Sb 0.0000 0.0000 0.5000
Mo1 Mo 0.5000 0.5000 0.5000

---

# LiCeMgSi PBE-GGA optimized geometry
# - E_form (uncorrected) (eV per atom) = -0.20
data_LiCeMgSi
_symmetry_space_group_name_H-M 'F -4 3 m'
_symmetry_Int_Tables_number 216
_symmetry_space_group_name_Hall 'F -4 2 3'
_cell_length_a 6.8589
_cell_length_b 6.8589
_cell_length_c 6.8589
_cell_angle_alpha 90.00
_cell_angle_beta 90.00
_cell_angle_gamma 90.00
loop_
_atom_site_label
_atom_site_type_symbol
_atom_site_fract_x
_atom_site_fract_y
_atom_site_fract_z
Li1 Li 0.0000 0.0000 0.0000
Ce1 Ce 0.2500 0.2500 0.7500
Mg1 Mg 0.2500 0.2500 0.2500
Si1 Si 0.0000 0.0000 0.5000

---

# InHgBr3 PBE-GGA optimized geometry
# - E_form (uncorrected) (eV per atom) = -0.59
data_InHgBr3
_symmetry_space_group_name_H-M 'C 1 2/c 1'
_symmetry_Int_Tables_number 15
_symmetry_space_group_name_Hall '-C 2yc'
_cell_length_a 8.2907
_cell_length_b 14.0625
_cell_length_c 15.2638
_cell_angle_alpha 90.00
_cell_angle_beta 98.20
_cell_angle_gamma 90.00
loop_
_atom_site_label
_atom_site_type_symbol
_atom_site_fract_x
_atom_site_fract_y
_atom_site_fract_z
In1 In 0.1658 0.2011 0.1063
Hg1 Hg 0.1987 0.4657 0.7755
Br1 Br 0.0938 0.3461 0.9819
Br2 Br 0.0950 0.1100 0.4259
Br3 Br 0.2503 0.1926 0.7624

---

Values for DOS at the Fermi energy, states/eV/cell, ordered as above
25.611; 8.199; 26.574; 0.000